This record from the Alexandria database describes a relaxed Cr2InCo crystal. The functional is PBEsol.

The space group is Imm2 (No. 44) and the conventional cell measures 3.060, 4.299 and 8.072 Å, with angles of 90.00, 90.00 and 90.00 degrees. The asymmetric unit holds Cr at (0.000, 0.000, 0.000), Cr at (0.000, 0.500, 0.289), In at (0.000, 0.500, 0.775) and Co at (0.000, 0.000, 0.538).

As for the calculated volume: 106.2 Å³ per cell. For the total energy, the calculation gives -7.4522 eV/atom. Its magnetic moment is 1.82 μB per cell.